Ho3Tm2Cd (PBE, relaxed); space group = Imm2; energy above the most stable polymorph in this dataset = 2.63 eV per formula unit; density of states at the Fermi level = 9.70 states/eV/cell; ΔH_f (0 K) = 0.352 eV per atom; VASP energy = -3.580 eV/atom
1.0
3.334 0.000 0.000
0.000 11.470 0.000
-1.667 -5.735 4.898
Ho Tm Cd
3 2 1
direct
0.000 0.023 0.000
0.338 0.330 0.676
0.662 0.653 0.324
0.828 0.568 0.656
0.172 0.912 0.344
0.500 0.256 0.000